(1)
CsTl2AgF8 | PBE | relaxed

Results
Magnetic moment (μB per formula unit): 0.01
DFT total energy (eV/cell): -45.39
Crystal system: monoclinic

Cell lengths 5.1338, 6.1801, 7.3484 Å; angles 89.98, 89.96, 85.79 degrees
With the nearest neighbours (Å) after each atom.
Element x y z (fractional)
F 0.6490 0.6971 0.9999  2 Tl 2.30
F 0.1660 0.7189 0.7857  1 Tl 2.11
F 0.6022 0.6890 0.4999  2 Tl 2.32
F 0.3510 0.3029 0.0001  2 Tl 2.30
F 0.1658 0.7187 0.2144  1 Tl 2.11
Cs 0.0000 0.0000 0.5000  6 F 2.82-2.91
F 0.3978 0.3110 0.5001  2 Tl 2.32
F 0.8342 0.2813 0.7856  1 Tl 2.11
F 0.8340 0.2811 0.2143  1 Tl 2.11
Ag 0.0000 0.0000 0.0000  6 F 2.45-2.69
Tl 0.5000 0.5000 0.7603  6 F 2.11-2.32
Tl 0.5000 0.5000 0.2397  6 F 2.11-2.32

***

(2)
Tb12Dy6In | PBE | relaxed

Results
Magnetic moment (μB per formula unit): 0.00
Calculated formation energy (kJ/mol of formula units): 130
DFT total energy (eV/cell): -84.57
Crystal system: trigonal
Fermi-level density of states (states/eV per atom): 1.4681

Cell lengths 8.4652, 8.4652, 8.4652 Å; angles 88.74, 88.74, 88.74 degrees
With the nearest neighbours (Å) after each atom.
Element x y z (fractional)
Dy 0.0959 0.7049 0.2577  7 Tb 3.29-3.66, 1 In 3.38, 2 Dy 3.42
Tb 0.9872 0.8153 0.6388  4 Dy 3.40-3.66, 4 Tb 3.47-3.61, 1 In 3.47
Tb 0.0128 0.1847 0.3612  4 Dy 3.40-3.66, 4 Tb 3.47-3.61, 1 In 3.47
Tb 0.8153 0.6388 0.9872  4 Dy 3.40-3.66, 4 Tb 3.47-3.61, 1 In 3.47
Tb 0.4335 0.7803 0.5394  3 Dy 3.29-3.46, 6 Tb 3.29-3.64
Tb 0.5394 0.4335 0.7803  3 Dy 3.29-3.46, 6 Tb 3.29-3.64
Tb 0.2197 0.4606 0.5665  3 Dy 3.29-3.46, 6 Tb 3.29-3.64
Dy 0.9041 0.2951 0.7423  7 Tb 3.29-3.66, 1 In 3.38, 2 Dy 3.42
Tb 0.5665 0.2197 0.4606  3 Dy 3.29-3.46, 6 Tb 3.29-3.64
Tb 0.4606 0.5665 0.2197  3 Dy 3.29-3.46, 6 Tb 3.29-3.64
Dy 0.2951 0.7423 0.9041  7 Tb 3.29-3.66, 1 In 3.38, 2 Dy 3.42
Dy 0.7049 0.2577 0.0959  7 Tb 3.29-3.66, 1 In 3.38, 2 Dy 3.42
In 0.0000 0.0000 0.0000  6 Dy 3.38, 6 Tb 3.47
Tb 0.7803 0.5394 0.4335  3 Dy 3.29-3.46, 6 Tb 3.29-3.64
Dy 0.7423 0.9041 0.2951  7 Tb 3.29-3.66, 1 In 3.38, 2 Dy 3.42
Tb 0.1847 0.3612 0.0128  4 Dy 3.40-3.66, 4 Tb 3.47-3.61, 1 In 3.47
Tb 0.3612 0.0128 0.1847  4 Dy 3.40-3.66, 4 Tb 3.47-3.61, 1 In 3.47
Dy 0.2577 0.0959 0.7049  7 Tb 3.29-3.66, 1 In 3.38, 2 Dy 3.42
Tb 0.6388 0.9872 0.8153  4 Dy 3.40-3.66, 4 Tb 3.47-3.61, 1 In 3.47

***

(3)
Zr3Pd5Au | PBE | relaxed

Results
Magnetic moment (μB per formula unit): 0.00
Calculated formation energy (kJ/mol of formula units): -572
DFT total energy (eV/cell): -121.63
Crystal system: hexagonal
Fermi-level density of states (states/eV per atom): 0.7440

Cell lengths 5.5633, 8.1562, 8.1561 Å; angles 120.00, 90.00, 90.00 degrees
With the nearest neighbours (Å) after each atom.
Element x y z (fractional)
Zr 0.2500 0.6580 0.6580  5 Pd 2.67-2.78
Pd 0.7500 0.6694 0.6694  5 Zr 2.67-2.78
Pd 0.0000 0.6667 0.3333  8 Pd 2.78-3.06, 6 Zr 3.02
Zr 0.7500 0.3420 0.3420  5 Pd 2.67-2.78
Zr 0.2500 0.0000 0.3420  5 Pd 2.67-2.78
Zr 0.7500 0.0000 0.6580  5 Pd 2.67-2.78
Pd 0.0000 0.3333 0.6667  8 Pd 2.78-3.06, 6 Zr 3.02
Zr 0.2500 0.3420 0.0000  5 Pd 2.67-2.78
Pd 0.5000 0.3333 0.6667  8 Pd 2.78-3.06, 6 Zr 3.02
Pd 0.7500 0.3305 0.0000  5 Zr 2.67-2.78
Au 0.5000 0.0000 0.0000  2 Au 2.78, 6 Pd 3.03
Pd 0.7500 0.0000 0.3306  5 Zr 2.67-2.78
Au 0.0000 0.0000 0.0000  2 Au 2.78, 6 Pd 3.03
Pd 0.5000 0.6667 0.3333  8 Pd 2.78-3.06, 6 Zr 3.02
Pd 0.2500 0.6695 0.0000  5 Zr 2.67-2.78
Pd 0.2500 0.0000 0.6694  5 Zr 2.67-2.78
Pd 0.2500 0.3306 0.3306  5 Zr 2.67-2.78
Zr 0.7500 0.6580 0.0000  5 Pd 2.67-2.78

***

(4)
NbSiAg2Te | PBE | relaxed

Results
Magnetic moment (μB per formula unit): 0.82
DFT total energy (eV/cell): -18.44
Crystal system: tetragonal
Fermi-level density of states (states/eV per atom): 1.1684

Cell lengths 5.2356, 4.8490, 5.2356 Å; angles 90.00, 90.00, 90.00 degrees
With the nearest neighbours (Å) after each atom.
Element x y z (fractional)
Ag 0.5000 0.0000 0.0000  2 Nb 2.62
Ag 0.0000 0.0000 0.5000  2 Nb 2.62
Si 0.0000 0.5000 0.0000  2 Nb 2.42
Nb 0.0000 0.0000 0.0000  2 Si 2.42, 4 Ag 2.62
Te 0.5000 0.5000 0.5000  8 Ag 3.57, 4 Si 3.70

***

(5)
Pa2Fe4Si3Tc | PBE | relaxed

Results
Magnetic moment (μB per formula unit): 0.00
DFT total energy (eV/cell): -84.97
Crystal system: tetragonal
Fermi-level density of states (states/eV per atom): 1.1723

Cell lengths 3.9645, 3.9645, 9.5008 Å; angles 90.00, 90.00, 90.00 degrees
With the nearest neighbours (Å) after each atom.
Element x y z (fractional)
Pa 0.5000 0.0000 0.2361  8 Fe 2.99-3.06, 6 Si 3.00-3.20, 2 Tc 3.20
Si 0.0000 0.0000 0.5000  4 Fe 2.36
Tc 0.5000 0.5000 0.5000  4 Fe 2.36
Si 0.0000 0.5000 0.1223  5 Fe 2.30
Fe 0.0000 0.5000 0.3646  3 Si 2.30-2.36, 2 Tc 2.36
Fe 0.5000 0.0000 0.6354  3 Si 2.30-2.36, 2 Tc 2.36
Si 0.5000 0.0000 0.8777  5 Fe 2.30
Fe 0.5000 0.5000 0.0000  4 Si 2.30
Fe 0.0000 0.0000 0.0000  4 Si 2.30
Pa 0.0000 0.5000 0.7639  8 Fe 2.99-3.06, 6 Si 3.00-3.20, 2 Tc 3.20

***

(6)
Ba2NaSb5 | PBE | relaxed

Results
Magnetic moment (μB per formula unit): 0.00
DFT total energy (eV/cell): -29.85
Crystal system: tetragonal
Fermi-level density of states (states/eV per atom): 0.4393

Cell lengths 7.3199, 7.3197, 7.2096 Å; angles 120.50, 120.50, 90.02 degrees
With the nearest neighbours (Å) after each atom.
Element x y z (fractional)
Sb 0.6877 0.2301 0.9179  3 Sb 3.07-3.35
Sb 0.6878 0.6878 0.9179  3 Sb 3.07-3.35
Na 0.1825 0.1824 0.3649  9 Sb 3.49-3.65, 4 Ba 3.67
Ba 0.2120 0.7120 0.4240  10 Sb 3.59-3.86, 2 Na 3.67
Sb 0.8347 0.8347 0.6694  4 Sb 3.07
Ba 0.7120 0.2120 0.4240  10 Sb 3.59-3.86, 2 Na 3.67
Sb 0.2302 0.2302 0.9179  3 Sb 3.07-3.35
Sb 0.2301 0.6877 0.9179  3 Sb 3.07-3.35

***

(7)
Li2IrRu | PBE | relaxed

Results
Magnetic moment (μB per formula unit): 0.00
Calculated formation energy (kJ/mol of formula units): -13
DFT total energy (eV/cell): -22.10
Crystal system: cubic
Fermi-level density of states (states/eV per atom): 0.7227
Energy relative to the lowest polymorph listed for this composition (meV/atom): 12

Cell lengths 4.1923, 4.1923, 4.1923 Å; angles 119.98, 119.98, 90.03 degrees
With the nearest neighbours (Å) after each atom.
Element x y z (fractional)
Ir 0.7500 0.2500 0.5000  4 Li 2.57, 4 Ru 2.57
Ru 0.5000 0.5000 0.0000  4 Ir 2.57, 4 Li 2.57
Li 0.0000 0.0000 0.0000  4 Li 2.57, 4 Ir 2.57
Li 0.2500 0.7500 0.5000  4 Li 2.57, 4 Ru 2.57

***

(8)
CdPb2 | PBE | relaxed

Results
Magnetic moment (μB per formula unit): 0.00
Calculated formation energy (kJ/mol of formula units): 16
DFT total energy (eV/cell): -16.34
Crystal system: tetragonal
Fermi-level density of states (states/eV per atom): 0.3094
Energy relative to the lowest polymorph listed for this composition (meV/atom): 20

Cell lengths 14.4820, 14.4820, 14.4820 Å; angles 165.95, 165.95, 19.92 degrees
With the nearest neighbours (Å) after each atom.
Element x y z (fractional)
Pb 0.4266 0.4266 0.0000  4 Cd 3.26, 6 Pb 3.44-3.54
Pb 0.5734 0.5734 0.0000  4 Cd 3.26, 6 Pb 3.44-3.54
Pb 0.6766 0.1766 0.5000  4 Cd 3.26, 6 Pb 3.44-3.54
Cd 0.0000 0.0000 0.0000  8 Pb 3.26, 4 Cd 3.54
Cd 0.2500 0.7500 0.5000  8 Pb 3.26, 4 Cd 3.54
Pb 0.8234 0.3234 0.5000  4 Cd 3.26, 6 Pb 3.44-3.54

***

(9)
Ho3ErNi | PBE | relaxed

Results
Magnetic moment (μB per formula unit): 0.00
Calculated formation energy (kJ/mol of formula units): -87
DFT total energy (eV/cell): -49.95
Crystal system: monoclinic
Fermi-level density of states (states/eV per atom): 1.2866
Energy relative to the lowest polymorph listed for this composition (meV/atom): 0

Cell lengths 3.6177, 6.3860, 12.3132 Å; angles 78.92, 81.55, 73.55 degrees
With the nearest neighbours (Å) after each atom.
Element x y z (fractional)
Ni 0.7670 0.3001 0.1659  4 Er 2.71-2.87, 3 Ho 2.75-2.91
Ho 0.4089 0.6427 0.5395  1 Ni 2.76
Er 0.0993 0.4965 0.3048  2 Ni 2.87
Er 0.2282 0.5196 0.0240  2 Ni 2.71
Ho 0.7506 0.7235 0.7752  2 Ni 2.90
Ho 0.8036 0.0249 0.3680  1 Ni 2.75
Ni 0.4445 0.3683 0.7428  7 Ho 2.71-2.90
Ho 0.9837 0.1476 0.8851  2 Ni 2.71
Ho 0.1131 0.1710 0.6029  2 Ni 2.88
Ho 0.4619 0.9427 0.1334  2 Ni 2.91

***

(10)
CeIn2Si2Pt7 | PBE | relaxed

Results
Magnetic moment (μB per formula unit): 0.37
DFT total energy (eV/cell): -72.46
Crystal system: monoclinic
Fermi-level density of states (states/eV per atom): 0.5148

Cell lengths 4.0139, 4.0139, 14.3329 Å; angles 84.56, 84.56, 90.33 degrees
With the nearest neighbours (Å) after each atom.
Element x y z (fractional)
In 0.8915 0.8915 0.3997  5 Pt 2.82-2.87
In 0.1085 0.1085 0.6003  5 Pt 2.82-2.87
Pt 0.0559 0.5558 0.8406  2 Si 2.42
Pt 0.4442 0.9441 0.1594  2 Si 2.42
Pt 0.5558 0.0559 0.8406  2 Si 2.42
Si 0.4118 0.4118 0.2543  5 Pt 2.31-2.42
Pt 0.9441 0.4442 0.1594  2 Si 2.42
Si 0.5882 0.5882 0.7457  5 Pt 2.31-2.42
Pt 0.5000 0.5000 0.0000  4 Ce 2.83-2.85, 8 Pt 3.02-3.03
Ce 0.0000 0.0000 0.0000  12 Pt 2.83-3.03
Pt 0.6171 0.6171 0.5832  1 Si 2.31
Pt 0.3829 0.3829 0.4168  1 Si 2.31

***

(11)
Pm6Pd2C | PBE | relaxed

Results
Magnetic moment (μB per formula unit): 0.00
Calculated formation energy (kJ/mol of formula units): -351
DFT total energy (eV/cell): -103.50
Crystal system: monoclinic
Fermi-level density of states (states/eV per atom): 1.0164

Cell lengths 6.6707, 7.3188, 10.0046 Å; angles 90.00, 88.77, 90.00 degrees
With the nearest neighbours (Å) after each atom.
Element x y z (fractional)
Pm 0.6208 0.4656 0.7609  1 C 2.52
Pm 0.1887 0.3252 0.9420  1 C 2.52
Pm 0.8282 0.6952 0.4422  1 C 2.58
C 0.5000 0.5000 0.0000  6 Pm 2.52-2.58
Pm 0.1208 0.0344 0.2609  1 C 2.52
Pm 0.6887 0.1748 0.4420  1 C 2.52
Pm 0.6718 0.1952 0.0578  1 C 2.58
Pd 0.4503 0.0963 0.7488  6 Pm 2.92-3.10
Pm 0.8113 0.6748 0.0580  1 C 2.52
Pm 0.3113 0.8252 0.5580  1 C 2.52
Pm 0.8792 0.9656 0.7391  1 C 2.52
Pm 0.3792 0.5344 0.2391  1 C 2.52
C 0.0000 0.0000 0.5000  6 Pm 2.52-2.58
Pd 0.5497 0.9037 0.2512  6 Pm 2.92-3.10
Pd 0.9503 0.4037 0.2488  6 Pm 2.92-3.10
Pd 0.0497 0.5963 0.7512  6 Pm 2.92-3.10
Pm 0.1718 0.3048 0.5578  1 C 2.58
Pm 0.3282 0.8048 0.9422  1 C 2.58

***

(12)
CaCr2Pt | PBE | relaxed

Results
Magnetic moment (μB per formula unit): 0.01
Calculated formation energy (kJ/mol of formula units): 237
DFT total energy (eV/cell): -24.83
Crystal system: orthorhombic
Fermi-level density of states (states/eV per atom): 1.2670

Cell lengths 5.2439, 5.2439, 2.6621 Å; angles 90.00, 90.00, 120.63 degrees
With the nearest neighbours (Å) after each atom.
Element x y z (fractional)
Cr 0.0000 0.0000 0.0000  4 Cr 2.60-2.66
Cr 0.5000 0.5000 0.0000  4 Cr 2.60-2.66
Pt 0.5000 0.0000 0.5000  2 Ca 2.60, 2 Pt 2.66
Ca 0.0000 0.5000 0.5000  2 Pt 2.60, 2 Ca 2.66